No. 1
First-principles (PBE) data for a relaxed UPd2Pt3 crystal, as listed in Alexandria.

a b c (Å): 5.680 7.310 7.310
angles (deg): 44.81 90.00 90.00
Each line ends with the local moment (μB).
Fractional positions:
Pd: 0.500 0.155 0.155  -0.02
Pd: 0.500 0.845 0.845  -0.02
Pd: 0.000 0.155 0.155  -0.02
Pd: 0.000 0.845 0.845  -0.02
U: 0.750 0.719 0.281  1.18
U: 0.250 0.281 0.719  1.18
Pt: 0.250 0.784 0.216  -0.04
Pt: 0.250 0.350 0.312  -0.04
Pt: 0.750 0.312 0.350  -0.04
Pt: 0.750 0.216 0.784  -0.04
Pt: 0.250 0.688 0.650  -0.04
Pt: 0.750 0.650 0.688  -0.04

Computed properties:
Energy of formation (eV per atom): -0.366
E (eV per atom): -6.9990



No. 2
First-principles (PBE) data for a relaxed Sr2CdSi crystal, as listed in Alexandria.

a b c (Å): 6.667 6.667 6.667
angles (deg): 145.44 133.38 59.31
Fractional positions:
Sr: 0.739 0.239 0.500
Sr: 0.035 0.035 0.000
Cd: 0.447 0.447 0.000
Si: 0.279 0.779 0.500

Computed properties:
E_form (uncorrected) (eV per atom): -0.1948
E (eV per atom): -2.6202



No. 3
First-principles (PBE) data for a relaxed Ca4Cd crystal, as listed in Alexandria.

a b c (Å): 7.070 7.070 7.070
angles (deg): 94.54 94.54 147.32
Fractional positions:
Cd: 0.000 0.000 0.000
Ca: 0.232 0.574 0.807
Ca: 0.574 0.768 0.342
Ca: 0.768 0.426 0.193
Ca: 0.426 0.232 0.658

Computed properties:
Offset from the most stable computed form (kJ/mol of atoms): 1.55
Energy of formation (eV per atom): -0.127
E (eV per atom): -1.9108



No. 4
First-principles (PBE) data for a relaxed Tl2Re crystal, as listed in Alexandria.

a b c (Å): 4.883 4.883 3.026
angles (deg): 90.00 90.00 90.00
Each line ends with the local moment (μB).
Fractional positions:
Tl: 0.000 0.500 0.500  0.00
Tl: 0.500 0.000 0.500  0.00
Re: 0.000 0.000 0.000  0.38

Computed properties:
Offset from the most stable computed form (kJ/mol of atoms): 24.62
Energy of formation (eV per atom): 0.821
E (eV per atom): -4.9054



No. 5
First-principles (PBE) data for a relaxed LaPrSiIr crystal, as listed in Alexandria.

a b c (Å): 4.380 4.114 5.925
angles (deg): 90.00 111.69 90.00
Fractional positions:
Si: 0.563 0.500 0.126
Ir: 0.431 0.000 0.861
Pr: 0.144 0.000 0.288
La: 0.862 0.500 0.724

Computed properties:
E_form (uncorrected) (eV per atom): -0.7518
E (eV per atom): -6.7496



No. 6
First-principles (PBE) data for a relaxed FeSbTe2Pb crystal, as listed in Alexandria.

a b c (Å): 5.354 5.354 4.902
angles (deg): 90.00 90.00 90.00
Each line ends with the local moment (μB).
Fractional positions:
Pb: 0.500 0.500 0.500  0.01
Fe: 0.000 0.000 0.000  2.25
Te: 0.500 0.000 0.000  0.06
Te: 0.000 0.500 0.000  0.06
Sb: 0.000 0.000 0.500  -0.02

Computed properties:
E_form (uncorrected) (eV per atom): 0.2531
Offset from the most stable computed form (kJ/mol of atoms): 0.00
E (eV per atom): -4.2622



No. 7
First-principles (PBE) data for a relaxed LaPr5Y2 crystal, as listed in Alexandria.

a b c (Å): 5.197 7.362 14.728
angles (deg): 90.00 90.00 90.00
Fractional positions:
Pr: 0.000 0.001 0.249
Pr: 0.000 0.500 0.500
Pr: 0.000 0.000 0.000
Pr: 0.000 0.999 0.751
Pr: 0.500 0.749 0.625
Pr: 0.500 0.251 0.375
Pr: 0.000 0.499 0.749
Pr: 0.500 0.249 0.875
Pr: 0.500 0.751 0.125
Pr: 0.000 0.501 0.251
La: 0.000 0.500 0.000
La: 0.000 0.000 0.500
Y: 0.500 0.751 0.375
Y: 0.500 0.249 0.625
Y: 0.500 0.749 0.875
Y: 0.500 0.251 0.125

Computed properties:
Offset from the most stable computed form (kJ/mol of atoms): 0.00
Energy of formation (eV per atom): 0.008
E (eV per atom): -5.2112



No. 8
First-principles (PBE) data for a relaxed Ti4ReIr2 crystal, as listed in Alexandria.

a b c (Å): 5.328 5.328 5.328
angles (deg): 110.12 109.15 109.15
Fractional positions:
Ti: 0.000 0.000 0.500
Ti: 0.500 0.500 0.500
Ti: 0.500 0.000 0.000
Ti: 0.000 0.500 0.000
Ir: 0.500 0.500 0.000
Ir: 0.500 0.000 0.500
Re: 0.000 0.000 0.000

Computed properties:
Energy of formation (eV per atom): -0.543
E (eV per atom): -9.3641



No. 9
First-principles (PBE) data for a relaxed BP2Se6 crystal, as listed in Alexandria.

a b c (Å): 6.263 9.182 9.182
angles (deg): 76.70 87.14 87.14
Each line ends with the local moment (μB).
Fractional positions:
Se: 0.122 0.489 0.321  0.00
Se: 0.995 0.133 0.973  0.09
Se: 0.495 0.973 0.133  0.09
Se: 0.878 0.511 0.679  0.00
Se: 0.863 0.854 0.376  0.01
Se: 0.505 0.027 0.867  0.09
Se: 0.637 0.624 0.146  0.01
Se: 0.137 0.146 0.624  0.01
Se: 0.363 0.376 0.854  0.01
Se: 0.622 0.321 0.489  0.00
Se: 0.005 0.867 0.027  0.09
Se: 0.378 0.679 0.511  0.00
B: 0.250 0.176 0.824  -0.01
B: 0.750 0.824 0.176  -0.01
P: 0.812 0.404 0.255  0.00
P: 0.312 0.255 0.404  0.00
P: 0.188 0.596 0.745  0.00
P: 0.688 0.745 0.596  0.00

Computed properties:
E_form (uncorrected) (eV per atom): 0.0342
E (eV per atom): -4.2330



No. 10
First-principles (PBE) data for a relaxed YCoSi3Rh crystal, as listed in Alexandria.

a b c (Å): 5.551 6.079 7.003
angles (deg): 115.72 90.00 90.00
Fractional positions:
Si: 0.000 0.286 0.000
Si: 0.000 0.714 0.000
Si: 0.500 0.714 0.000
Si: 0.250 0.207 0.414
Si: 0.750 0.793 0.586
Si: 0.500 0.286 0.000
Y: 0.250 0.798 0.596
Y: 0.750 0.202 0.404
Rh: 0.750 0.616 0.233
Rh: 0.250 0.384 0.767
Co: 0.250 0.039 0.079
Co: 0.750 0.961 0.921

Computed properties:
E_form (uncorrected) (eV per atom): -0.5044
E (eV per atom): -6.7028



No. 11
First-principles (PBE) data for a relaxed Rb12Sb3Br5 crystal, as listed in Alexandria.

a b c (Å): 17.953 17.953 17.953
angles (deg): 109.47 109.47 109.47
Each line ends with the local moment (μB).
Fractional positions:
Rb: 0.637 0.587 0.915  0.01
Rb: 0.222 0.672 0.085  0.01
Rb: 0.672 0.222 0.585  0.01
Rb: 0.050 0.413 0.828  0.01
Rb: 0.087 0.915 0.137  0.01
Rb: 0.950 0.587 0.172  0.01
Rb: 0.085 0.172 0.222  0.01
Rb: 0.328 0.550 0.413  0.01
Rb: 0.863 0.278 0.450  0.01
Rb: 0.585 0.863 0.413  0.01
Rb: 0.778 0.450 0.363  0.01
Rb: 0.087 0.172 0.450  0.01
Rb: 0.915 0.087 0.637  0.01
Rb: 0.137 0.722 0.550  0.01
Rb: 0.450 0.672 0.087  0.01
Rb: 0.828 0.913 0.050  0.01
Rb: 0.450 0.778 0.863  0.01
Rb: 0.913 0.828 0.550  0.01
Rb: 0.587 0.950 0.672  0.01
Rb: 0.085 0.913 0.363  0.01
Rb: 0.415 0.137 0.587  0.01
Rb: 0.550 0.222 0.137  0.01
Rb: 0.950 0.363 0.278  0.01
Rb: 0.278 0.415 0.828  0.01
Rb: 0.050 0.637 0.722  0.01
Rb: 0.172 0.085 0.722  0.01
Rb: 0.915 0.828 0.778  0.01
Rb: 0.722 0.137 0.050  0.01
Rb: 0.137 0.415 0.087  0.01
Rb: 0.413 0.050 0.328  0.01
Rb: 0.413 0.363 0.585  0.01
Rb: 0.828 0.915 0.278  0.01
Rb: 0.363 0.950 0.778  0.01
Rb: 0.363 0.413 0.085  0.01
Rb: 0.585 0.722 0.672  0.01
Rb: 0.222 0.550 0.637  0.01
Rb: 0.587 0.637 0.415  0.01
Rb: 0.913 0.085 0.863  0.01
Rb: 0.722 0.585 0.172  0.01
Rb: 0.550 0.328 0.913  0.01
Rb: 0.778 0.328 0.915  0.01
Rb: 0.637 0.050 0.222  0.01
Rb: 0.863 0.585 0.913  0.01
Rb: 0.672 0.450 0.587  0.01
Rb: 0.415 0.278 0.328  0.01
Rb: 0.328 0.778 0.415  0.01
Rb: 0.278 0.863 0.950  0.01
Rb: 0.172 0.087 0.950  0.01
Br: 0.875 0.250 0.625  0.00
Br: 0.625 0.750 0.875  0.00
Br: 0.375 0.250 0.125  0.00
Br: 0.500 0.000 0.000  0.00
Br: 0.875 0.625 0.750  0.00
Br: 0.500 0.500 0.000  0.00
Br: 0.750 0.625 0.375  0.00
Br: 0.750 0.125 0.875  0.00
Br: 0.000 0.000 0.000  0.00
Br: 0.000 0.000 0.500  0.00
Br: 0.125 0.375 0.250  0.00
Br: 0.500 0.000 0.500  0.00
Br: 0.000 0.500 0.000  0.00
Br: 0.250 0.875 0.125  0.00
Br: 0.625 0.875 0.250  0.00
Br: 0.500 0.500 0.500  0.00
Br: 0.250 0.375 0.625  0.00
Br: 0.000 0.500 0.500  0.00
Br: 0.125 0.750 0.375  0.00
Br: 0.375 0.125 0.750  0.00
Sb: 0.375 0.625 0.250  0.22
Sb: 0.125 0.875 0.750  0.22
Sb: 0.625 0.250 0.375  0.22
Sb: 0.250 0.625 0.875  0.22
Sb: 0.750 0.875 0.625  0.22
Sb: 0.625 0.375 0.750  0.22
Sb: 0.875 0.750 0.125  0.22
Sb: 0.750 0.375 0.125  0.22
Sb: 0.375 0.750 0.625  0.22
Sb: 0.875 0.125 0.250  0.22
Sb: 0.250 0.125 0.375  0.22
Sb: 0.125 0.250 0.875  0.22

Computed properties:
E_form (uncorrected) (eV per atom): -0.9599
E (eV per atom): -2.5770



No. 12
First-principles (PBE) data for a relaxed Tm3Sc2 crystal, as listed in Alexandria.

a b c (Å): 5.984 6.401 9.159
angles (deg): 65.88 70.93 62.13
Fractional positions:
Sc: 0.233 0.253 0.951
Sc: 0.436 0.247 0.549
Sc: 0.767 0.747 0.049
Sc: 0.564 0.753 0.451
Tm: 0.972 0.741 0.650
Tm: 0.363 0.759 0.850
Tm: 0.174 0.750 0.250
Tm: 0.826 0.250 0.750
Tm: 0.028 0.259 0.350
Tm: 0.637 0.241 0.150

Computed properties:
Offset from the most stable computed form (kJ/mol of atoms): 0.00
Energy of formation (eV per atom): 0.013
E (eV per atom): -5.2029



Which formula does entry 2 have? Sr2CdSi



Look up the E of the twelfth one. -5.2029 eV per atom



Among the records above, which one has the highest E? Ca4Cd



Look up the E of the sixth one. -4.2622 eV per atom